(1)
The following is a DFT calculation (PBE) of an optimized crystal structure of GaIr.

Cell and atoms, written as POSCAR:
```
GaIr
1.0
0.000 2.787 2.787
2.787 0.000 2.787
2.787 2.787 0.000
Ga Ir
1 1
Cartesian
0.000 0.000 0.000 Ga
1.394 1.394 1.394 Ir
```

Summary:
- total magnetic moment (μB/atom) = 0.000
- electronic total energy (eV per atom) = -5.406

***

(2)
The following is a DFT calculation (PBE) of an optimized crystal structure of GaIr8.

Cell and atoms, written as POSCAR:
```
GaIr8
1.0
-0.905 -2.868 -3.630
-0.418 -4.688 -0.265
-28.575 2.281 5.367
Ga Ir
2 16
Cartesian
-8.422 -6.626 -2.366 Ga
-21.476 1.352 3.838 Ga
-8.270 -1.270 0.509 Ir
-9.492 -3.467 -0.502 Ir
-10.727 -5.629 -1.493 Ir
-10.663 -0.286 1.388 Ir
-11.906 -2.474 0.384 Ir
-13.149 -4.676 -0.627 Ir
-13.076 0.671 2.255 Ir
-14.337 -1.534 1.244 Ir
-15.561 -3.740 0.228 Ir
-16.822 -5.946 -0.783 Ir
-16.749 -0.598 2.099 Ir
-17.992 -2.801 1.088 Ir
-19.235 -4.989 0.084 Ir
-19.171 0.354 2.965 Ir
-20.406 -1.808 1.974 Ir
-21.628 -4.005 0.963 Ir
```

Summary:
- total magnetic moment (μB/atom) = 0.000
- electronic total energy (eV per atom) = -8.100

***

(3)
The following is a DFT calculation (PBE) of an optimized crystal structure of GaIr.

Cell and atoms, written as POSCAR:
```
GaIr
1.0
-1.299 0.357 -2.606
2.181 -1.939 0.299
-2.632 -2.817 0.926
Ga Ir
1 1
Cartesian
-2.113 -2.521 -0.943 Ga
0.363 -1.878 -0.438 Ir
```

Summary:
- total magnetic moment (μB/atom) = 0.001
- electronic total energy (eV per atom) = -6.267

***

(4)
The following is a DFT calculation (PBE) of an optimized crystal structure of GaIr15.

Cell and atoms, written as POSCAR:
```
GaIr15
1.0
7.729 0.000 0.000
0.000 2.727 0.000
-0.012 0.000 35.540
Ga Ir
2 30
Cartesian
0.962 0.682 7.624 Ga
6.755 2.045 27.916 Ga
4.831 0.682 7.609 Ir
2.914 2.045 8.802 Ir
6.744 2.045 8.809 Ir
0.964 0.682 10.255 Ir
4.822 0.682 10.280 Ir
6.759 2.045 11.607 Ir
2.893 2.045 11.611 Ir
4.827 0.682 12.968 Ir
0.963 0.682 12.992 Ir
6.752 2.045 14.344 Ir
2.899 2.045 14.349 Ir
0.959 0.682 15.707 Ir
4.827 0.682 15.724 Ir
2.893 2.045 17.075 Ir
6.756 2.045 17.086 Ir
0.961 0.682 18.454 Ir
4.824 0.682 18.465 Ir
2.890 2.045 19.817 Ir
6.758 2.045 19.834 Ir
4.818 0.682 21.191 Ir
0.965 0.682 21.197 Ir
6.754 2.045 22.549 Ir
2.890 2.045 22.573 Ir
4.824 0.682 23.929 Ir
0.958 0.682 23.934 Ir
2.895 2.045 25.260 Ir
6.753 2.045 25.285 Ir
0.973 0.682 26.731 Ir
4.803 0.682 26.738 Ir
2.886 2.045 27.931 Ir
```

Summary:
- total magnetic moment (μB/atom) = 0.000
- electronic total energy (eV per atom) = -8.363
- excess energy over the best structure of this formula in the dataset (meV per atom) = 60

***

(5)
The following is a DFT calculation (PBE) of an optimized crystal structure of GaIr15.

Cell and atoms, written as POSCAR:
```
GaIr15
1.0
-4.699 0.379 0.339
1.642 -10.168 34.123
2.021 4.121 1.131
Ga Ir
2 30
Cartesian
0.853 -1.124 7.514 Ga
2.810 -4.923 27.740 Ga
-1.435 -1.315 8.958 Ir
0.980 -1.910 10.149 Ir
-1.307 -2.105 11.610 Ir
1.107 -2.693 12.778 Ir
-1.181 -2.887 14.235 Ir
1.231 -3.465 15.369 Ir
-1.055 -3.667 16.851 Ir
1.358 -4.249 17.999 Ir
-0.929 -4.450 19.479 Ir
1.485 -5.033 20.629 Ir
-0.801 -5.242 22.139 Ir
1.611 -5.814 23.250 Ir
-0.676 -6.016 24.734 Ir
1.738 -6.603 25.899 Ir
-0.554 -6.769 27.263 Ir
-0.482 1.101 8.330 Ir
1.925 0.556 9.355 Ir
-0.360 0.348 10.859 Ir
2.053 -0.234 12.003 Ir
-0.235 -0.426 13.454 Ir
2.179 -1.015 14.625 Ir
-0.107 -1.218 16.114 Ir
2.306 -1.798 17.255 Ir
0.019 -2.001 18.742 Ir
2.432 -2.582 19.884 Ir
0.145 -2.781 21.358 Ir
2.557 -3.354 22.476 Ir
0.271 -3.563 23.983 Ir
2.683 -4.137 25.105 Ir
0.399 -4.353 26.635 Ir
```

Summary:
- total magnetic moment (μB/atom) = 0.000
- electronic total energy (eV per atom) = -8.375
- excess energy over the best structure of this formula in the dataset (meV per atom) = 48

***

(6)
The following is a DFT calculation (PBE) of an optimized crystal structure of KZn2GaIr.

Cell and atoms, written as POSCAR:
```
KZn2GaIr
1.0
4.953 0.000 0.000
0.000 4.953 0.000
0.000 0.000 4.792
Ga Ir K Zn
1 1 1 2
Cartesian
0.000 0.000 2.396 Ga
0.000 0.000 0.000 Ir
2.477 2.477 2.396 K
2.477 0.000 0.000 Zn
0.000 2.477 0.000 Zn
```

Summary:
- total magnetic moment (μB/atom) = 0.000
- electronic total energy (eV per atom) = -3.359

***

(7)
The following is a DFT calculation (PBE) of an optimized crystal structure of La2Ga5Ir3.

Cell and atoms, written as POSCAR:
```
La2Ga5Ir3
1.0
-5.124 6.405 2.932
5.124 -6.405 2.932
5.124 6.405 -2.932
Ga Ir La
10 6 4
Cartesian
0.000 0.000 1.466 Ga
0.000 0.000 4.397 Ga
3.420 -1.177 2.932 Ga
0.000 3.731 1.466 Ga
5.124 -2.674 1.466 Ga
3.420 1.177 0.000 Ga
1.704 5.228 2.932 Ga
0.000 9.080 1.466 Ga
5.124 2.674 1.466 Ga
1.704 7.582 0.000 Ga
-1.019 1.879 2.932 Ir
1.019 1.879 0.000 Ir
0.000 6.405 1.466 Ir
5.124 0.000 1.466 Ir
4.105 4.526 2.932 Ir
6.144 4.526 0.000 Ir
-2.797 4.653 2.932 La
2.327 1.753 2.932 La
2.797 4.653 0.000 La
7.922 1.753 0.000 La
```

Summary:
- total magnetic moment (μB/atom) = 0.000
- electronic total energy (eV per atom) = -5.913

***

(8)
The following is a DFT calculation (PBE) of an optimized crystal structure of La3Ga2Ir4.

Cell and atoms, written as POSCAR:
```
La3Ga2Ir4
1.0
5.286 -2.133 0.000
5.286 2.133 0.000
-1.294 0.000 8.665
Ga Ir La
2 4 3
Cartesian
3.112 0.000 1.865 Ga
6.167 0.000 6.801 Ga
7.508 0.000 0.773 Ir
9.158 0.000 3.176 Ir
0.121 0.000 5.490 Ir
1.772 0.000 7.892 Ir
0.000 0.000 0.000 La
6.088 0.000 3.284 La
3.191 0.000 5.381 La
```

Summary:
- total magnetic moment (μB/atom) = 0.000
- electronic total energy (eV per atom) = -6.947